*P*
A plane-wave DFT calculation with PBE-GGA was carried out for a relaxed Rb2Sc2Nb crystal.

a b c (Å): 9.626 9.626 3.233
angles (deg): 90.00 90.00 90.00
Sites, in units of the cell vectors:
Sc  0.191  0.691  0.500
Sc  0.691  0.809  0.500
Sc  0.809  0.309  0.500
Sc  0.309  0.191  0.500
Nb  0.000  0.000  0.000
Nb  0.500  0.500  0.000
Rb  0.380  0.880  0.000
Rb  0.880  0.620  0.000
Rb  0.620  0.120  0.000
Rb  0.120  0.380  0.000

## Properties
- Total magnetization: 0.02 μB/f.u.



*Q*
A plane-wave DFT calculation with PBE-GGA was carried out for a relaxed Rb2Sc2Nb crystal.

a b c (Å): 5.930 5.930 6.371
angles (deg): 62.26 62.26 90.00
Sites, in units of the cell vectors:
Sc  0.750  0.250  0.500
Sc  0.250  0.750  0.500
Nb  0.000  0.000  0.000
Rb  0.352  0.352  0.295
Rb  0.648  0.648  0.705

## Properties
- Total magnetization: 4.35 μB/f.u.



Name the most stable of them. *P*.



*P*
A plane-wave DFT calculation with PBE-GGA was carried out for a relaxed Rb2ScNb crystal.

a b c (Å): 13.333 13.333 9.761
angles (deg): 46.92 46.92 90.00
Sites, in units of the cell vectors:
Sc  0.500  0.500  0.000
Sc  0.250  0.750  0.500
Nb  0.000  0.000  0.000
Nb  0.750  0.250  0.500
Rb  0.775  0.125  0.250
Rb  0.975  0.625  0.250
Rb  0.375  0.225  0.750
Rb  0.875  0.025  0.750

## Properties
- Total magnetization: 2.19 μB/f.u.



*Q*
A plane-wave DFT calculation with PBE-GGA was carried out for a relaxed Rb2ScNb crystal.

a b c (Å): 6.126 6.126 6.126
angles (deg): 60.00 60.00 60.00
Sites, in units of the cell vectors:
Sc  0.000  0.000  0.000
Nb  0.500  0.500  0.500
Rb  0.250  0.250  0.250
Rb  0.750  0.750  0.750

## Properties
- Total magnetization: 3.76 μB/f.u.



Name the most stable of them. *P*.



*P*
A plane-wave DFT calculation with PBE-GGA was carried out for a relaxed Rb2NbSe4 crystal.

a b c (Å): 3.688 9.153 9.208
angles (deg): 135.79 101.55 90.00
Sites, in units of the cell vectors:
Rb  0.663  0.661  0.325
Rb  0.337  0.339  0.675
Nb  0.000  0.000  0.000
Se  0.940  0.185  0.881
Se  0.060  0.815  0.119
Se  0.645  0.259  0.290
Se  0.355  0.741  0.710

## Properties
- Total magnetization: 0.00 μB/f.u.



*Q*
A plane-wave DFT calculation with PBE-GGA was carried out for a relaxed Rb2NbSe4 crystal.

a b c (Å): 6.400 7.774 11.198
angles (deg): 103.75 90.00 90.00
Sites, in units of the cell vectors:
Rb  0.250  0.283  0.946
Rb  0.750  0.717  0.054
Rb  0.750  0.771  0.539
Rb  0.250  0.229  0.461
Nb  0.250  0.717  0.784
Nb  0.750  0.283  0.216
Se  0.525  0.493  0.726
Se  0.250  0.844  0.999
Se  0.750  0.156  0.001
Se  0.975  0.493  0.726
Se  0.750  0.063  0.336
Se  0.025  0.507  0.274
Se  0.475  0.507  0.274
Se  0.250  0.937  0.664

## Properties
- Total magnetization: 0.00 μB/f.u.



Name the most stable of them. *Q*.



*P*
A plane-wave DFT calculation with PBE-GGA was carried out for a relaxed RbNb3Se crystal.

a b c (Å): 4.971 4.971 4.971
angles (deg): 90.00 90.00 90.00
Sites, in units of the cell vectors:
Nb  0.000  0.500  0.000
Nb  0.000  0.000  0.500
Nb  0.500  0.000  0.000
Se  0.000  0.000  0.000
Rb  0.500  0.500  0.500

## Properties
- Total magnetization: 0.88 μB/f.u.



*Q*
A plane-wave DFT calculation with PBE-GGA was carried out for a relaxed RbNb3Se crystal.

a b c (Å): 4.846 4.846 4.846
angles (deg): 90.00 90.00 90.00
Sites, in units of the cell vectors:
Nb  0.000  0.500  0.000
Nb  0.000  0.000  0.500
Nb  0.500  0.000  0.000
Se  0.500  0.500  0.500
Rb  0.000  0.000  0.000

## Properties
- Total magnetization: 0.00 μB/f.u.



Name the most stable of them. *P*.



*P*
A plane-wave DFT calculation with PBE-GGA was carried out for a relaxed RbNbSe4 crystal.

a b c (Å): 6.480 8.070 8.538
angles (deg): 61.80 79.41 67.12
Sites, in units of the cell vectors:
Rb  0.750  0.351  0.298
Rb  0.250  0.649  0.702
Nb  0.250  0.000  0.000
Nb  0.750  0.000  0.000
Se  0.871  0.333  0.860
Se  0.030  0.074  0.728
Se  0.629  0.807  0.860
Se  0.470  0.199  0.728
Se  0.530  0.801  0.272
Se  0.371  0.193  0.140
Se  0.970  0.926  0.272
Se  0.129  0.667  0.140

## Properties
- Total magnetization: 0.00 μB/f.u.



*Q*
A plane-wave DFT calculation with PBE-GGA was carried out for a relaxed RbNbSe4 crystal.

a b c (Å): 6.713 7.664 8.380
angles (deg): 117.21 94.24 90.00
Sites, in units of the cell vectors:
Rb  0.826  0.804  0.608
Rb  0.174  0.196  0.392
Nb  0.267  0.505  0.010
Nb  0.733  0.495  0.990
Se  0.299  0.694  0.388
Se  0.483  0.192  0.823
Se  0.000  0.259  0.000
Se  0.517  0.368  0.177
Se  0.701  0.306  0.612
Se  0.517  0.808  0.177
Se  0.000  0.741  0.000
Se  0.483  0.632  0.823

## Properties
- Total magnetization: 0.00 μB/f.u.



Name the most stable of them. *P*.



*P*
A plane-wave DFT calculation with PBE-GGA was carried out for a relaxed Rb3NbSe3 crystal.

a b c (Å): 7.005 10.302 10.302
angles (deg): 119.83 90.00 90.00
Sites, in units of the cell vectors:
Rb  0.250  0.615  0.807
Rb  0.250  0.192  0.385
Rb  0.250  0.192  0.809
Rb  0.750  0.385  0.193
Rb  0.750  0.808  0.615
Rb  0.750  0.808  0.191
Nb  0.750  0.333  0.667
Nb  0.250  0.667  0.333
Se  0.750  0.603  0.802
Se  0.750  0.198  0.397
Se  0.750  0.198  0.803
Se  0.250  0.397  0.198
Se  0.250  0.802  0.603
Se  0.250  0.802  0.197

## Properties
- Total magnetization: 0.00 μB/f.u.



*Q*
A plane-wave DFT calculation with PBE-GGA was carried out for a relaxed Rb3NbSe3 crystal.

a b c (Å): 8.433 8.433 8.426
angles (deg): 98.53 98.53 114.40
Sites, in units of the cell vectors:
Rb  0.609  0.609  0.363
Rb  0.176  0.824  0.500
Rb  0.824  0.176  0.500
Rb  0.271  0.729  0.000
Rb  0.729  0.271  0.000
Rb  0.391  0.391  0.637
Nb  0.856  0.856  0.868
Nb  0.144  0.144  0.132
Se  0.880  0.880  0.176
Se  0.860  0.572  0.728
Se  0.572  0.860  0.728
Se  0.140  0.428  0.272
Se  0.428  0.140  0.272
Se  0.120  0.120  0.824

## Properties
- Total magnetization: 1.01 μB/f.u.



Name the most stable of them. *Q*.



*P*
A plane-wave DFT calculation with PBE-GGA was carried out for a relaxed RbNb3Sn crystal.

a b c (Å): 4.838 4.838 4.838
angles (deg): 90.00 90.00 90.00
Sites, in units of the cell vectors:
Nb  0.000  0.500  0.000
Nb  0.000  0.000  0.500
Nb  0.500  0.000  0.000
Sn  0.500  0.500  0.500
Rb  0.000  0.000  0.000

## Properties
- Total magnetization: 0.00 μB/f.u.



*Q*
A plane-wave DFT calculation with PBE-GGA was carried out for a relaxed RbNb3Sn crystal.

a b c (Å): 5.284 5.284 5.284
angles (deg): 90.00 90.00 90.00
Sites, in units of the cell vectors:
Nb  0.000  0.500  0.000
Nb  0.000  0.000  0.500
Nb  0.500  0.000  0.000
Sn  0.000  0.000  0.000
Rb  0.500  0.500  0.500

## Properties
- Total magnetization: 0.00 μB/f.u.



Name the most stable of them. *Q*.



*P*
A plane-wave DFT calculation with PBE-GGA was carried out for a relaxed Rb2SrNb crystal.

a b c (Å): 5.298 5.298 14.980
angles (deg): 79.81 79.81 90.00
Sites, in units of the cell vectors:
Sr  0.500  0.500  0.000
Sr  0.250  0.750  0.500
Nb  0.000  0.000  0.000
Nb  0.750  0.250  0.500
Rb  0.643  0.125  0.250
Rb  0.107  0.625  0.250
Rb  0.375  0.357  0.750
Rb  0.875  0.893  0.750

## Properties
- Total magnetization: 4.99 μB/f.u.



*Q*
A plane-wave DFT calculation with PBE-GGA was carried out for a relaxed Rb2SrNb crystal.

a b c (Å): 6.567 6.567 6.567
angles (deg): 60.00 60.00 60.00
Sites, in units of the cell vectors:
Sr  0.000  0.000  0.000
Nb  0.500  0.500  0.500
Rb  0.250  0.250  0.250
Rb  0.750  0.750  0.750

## Properties
- Total magnetization: 4.95 μB/f.u.



Name the most stable of them. *P*.



*P*
A plane-wave DFT calculation with PBE-GGA was carried out for a relaxed RbSr2Nb crystal.

a b c (Å): 6.231 6.231 6.231
angles (deg): 60.00 60.00 60.00
Sites, in units of the cell vectors:
Sr  0.250  0.250  0.250
Sr  0.750  0.750  0.750
Nb  0.500  0.500  0.500
Rb  0.000  0.000  0.000

## Properties
- Total magnetization: 4.19 μB/f.u.



*Q*
A plane-wave DFT calculation with PBE-GGA was carried out for a relaxed RbSr2Nb crystal.

a b c (Å): 10.168 10.168 8.229
angles (deg): 51.84 51.84 90.00
Sites, in units of the cell vectors:
Sr  0.686  0.125  0.250
Sr  0.064  0.625  0.250
Sr  0.375  0.314  0.750
Sr  0.875  0.936  0.750
Nb  0.000  0.000  0.000
Nb  0.750  0.250  0.500
Rb  0.500  0.500  0.000
Rb  0.250  0.750  0.500

## Properties
- Total magnetization: 4.99 μB/f.u.



Name the most stable of them. *P*.



*P*
A plane-wave DFT calculation with PBE-GGA was carried out for a relaxed RbSr3Nb crystal.

a b c (Å): 5.963 5.963 5.963
angles (deg): 90.00 90.00 90.00
Sites, in units of the cell vectors:
Sr  0.000  0.500  0.000
Sr  0.000  0.000  0.500
Sr  0.500  0.000  0.000
Nb  0.500  0.500  0.500
Rb  0.000  0.000  0.000

## Properties
- Total magnetization: 0.00 μB/f.u.



*Q*
A plane-wave DFT calculation with PBE-GGA was carried out for a relaxed RbSr3Nb crystal.

a b c (Å): 6.201 6.201 6.201
angles (deg): 90.00 90.00 90.00
Sites, in units of the cell vectors:
Sr  0.000  0.500  0.000
Sr  0.000  0.000  0.500
Sr  0.500  0.000  0.000
Nb  0.000  0.000  0.000
Rb  0.500  0.500  0.500

## Properties
- Total magnetization: 0.00 μB/f.u.



Name the most stable of them. *Q*.



*P*
A plane-wave DFT calculation with PBE-GGA was carried out for a relaxed Rb3SrNb crystal.

a b c (Å): 7.789 7.789 7.789
angles (deg): 90.00 90.00 90.00
Sites, in units of the cell vectors:
Sr  0.000  0.000  0.000
Nb  0.500  0.500  0.500
Rb  0.000  0.500  0.000
Rb  0.000  0.000  0.500
Rb  0.500  0.000  0.000

## Properties
- Total magnetization: 4.56 μB/f.u.



*Q*
A plane-wave DFT calculation with PBE-GGA was carried out for a relaxed Rb3SrNb crystal.

a b c (Å): 7.105 7.105 7.105
angles (deg): 90.00 90.00 90.00
Sites, in units of the cell vectors:
Sr  0.500  0.500  0.500
Nb  0.000  0.000  0.000
Rb  0.000  0.500  0.000
Rb  0.000  0.000  0.500
Rb  0.500  0.000  0.000

## Properties
- Total magnetization: 5.51 μB/f.u.



Name the most stable of them. *Q*.



*P*
A plane-wave DFT calculation with PBE-GGA was carried out for a relaxed RbNb3Tc crystal.

a b c (Å): 4.998 4.998 4.998
angles (deg): 90.00 90.00 90.00
Sites, in units of the cell vectors:
Nb  0.000  0.500  0.000
Nb  0.000  0.000  0.500
Nb  0.500  0.000  0.000
Tc  0.000  0.000  0.000
Rb  0.500  0.500  0.500

## Properties
- Total magnetization: 0.53 μB/f.u.



*Q*
A plane-wave DFT calculation with PBE-GGA was carried out for a relaxed RbNb3Tc crystal.

a b c (Å): 4.727 4.727 4.727
angles (deg): 90.00 90.00 90.00
Sites, in units of the cell vectors:
Nb  0.000  0.500  0.000
Nb  0.000  0.000  0.500
Nb  0.500  0.000  0.000
Tc  0.500  0.500  0.500
Rb  0.000  0.000  0.000

## Properties
- Total magnetization: 0.75 μB/f.u.



Name the most stable of them. *P*.